Crystalline LaPrSn at its relaxed geometry. Source: Alexandria, functional PBE.

Output
**ΔE to the lowest computed polymorph**: 0.00 eV/f.u.
**VASP energy**: -15.5 eV per formula unit
**Energy of formation from the pure elements**: -1.83 eV/f.u.

abc: 5.6319 5.6319 6.8747
angles: 90.00 90.00 120.00
Each line ends with the local moment (μB).
Fractional positions:
La  0.0000  0.0000  0.0000  0.28
La  0.0000  0.0000  0.5000  0.28
Pr  0.6667  0.3333  0.2500  0.19
Pr  0.3333  0.6667  0.7500  0.19
Sn  0.3333  0.6667  0.2500  -0.03
Sn  0.6667  0.3333  0.7500  -0.03